Material: Tb8Nd3Tm2
Method: DFT, PBE-GGA
State: optimized geometry

Output
Formation energy in eV per atom: 0.24
Total moment in μB/f.u.: 0.0
Polymorph energy (0 for the lowest one) in eV/f.u.: 2.82

Cell: 5.679 7.738 10.724 Å, 111.15 90.01 90.00°
Sites, in units of the cell vectors:
Tb 0.000 0.673 0.346
Tb 0.000 0.327 0.654
Tb 0.000 0.136 0.272
Tb 0.000 0.864 0.728
Tb 0.500 0.599 0.781
Tb 0.500 0.182 0.781
Tb 0.500 0.818 0.219
Tb 0.500 0.401 0.219
Nd 0.500 0.000 0.000
Nd 0.000 0.292 0.000
Nd 0.000 0.708 0.000
Tm 0.500 0.241 0.483
Tm 0.500 0.759 0.517